Density functional theory data (GGA-PBE) for an optimized crystal structure of BaGaBiH.

Lattice parameters (Å, degrees): 4.5823 5.1279 5.1001 92.44 90.00 116.54
With the nearest neighbours (Å) after each atom.
Atoms (fractional coordinates):
1 Bi 0.5695 0.1390 0.3220  3 Ga 2.86-2.96
2 Ba 0.8963 0.7926 0.7902  2 H 2.76
3 Ga 0.2484 0.4968 0.2354  1 H 1.75
4 H 0.2401 0.4803 0.8916  1 Ga 1.75

Results
**Uncorrected energy**: -3.519 eV/atom